Below is a relaxed structure of NaNi3Bi5, with properties calculated at the PBE level.

The volume is 24.8 Å³ per atom. The mass density comes out at 9.25 g/cm3. Its energy is -4.315 eV/atom.

The space group is P6/mmm (No. 191) and the conventional cell measures 5.5683, 5.5683 and 8.3125 Å, with angles of 90.00, 90.00 and 120.00 degrees. The distinct sites, in fractional coordinates, are Na at (0.0000, 0.0000, 0.0000), Ni at (0.0000, 0.5000, 0.5000), Bi at (0.0000, 0.0000, 0.5000) and Bi at (0.3333, 0.6667, 0.2332).